(1)
# NpGa4Ir2 (PBE-GGA, optimized geometry)
# - E above lowest polymorph: 0.0000 eV per atom
# - Crystal system: orthorhombic
# - Energy of formation from the pure elements: -0.406 eV per atom
# - Fermi-level density of states: 51.7 states/eV/cell
data_NpGa4Ir2
_chemical_formula_sum 'Np4 Ga16 Ir8'
_cell_length_a 17.0815
_cell_length_b 4.2808
_cell_length_c 6.6790
_cell_angle_alpha 90.00
_cell_angle_beta 90.00
_cell_angle_gamma 90.00
_space_group_name_H-M_alt 'P n m a'
_space_group_IT_number 62
loop_
_space_group_symop_operation_xyz
'x,y,z'
'-x,-y,-z'
'-x+1/2,-y,z+1/2'
'x+1/2,y,-z+1/2'
'x+1/2,-y+1/2,-z+1/2'
'-x+1/2,y+1/2,z+1/2'
'-x,y+1/2,-z'
'x,-y+1/2,z'
loop_
_atom_site_label
_atom_site_type_symbol
_atom_site_fract_x
_atom_site_fract_y
_atom_site_fract_z
_atom_site_occupancy
Np1 Np 0.1389 0.2500 0.0315 1
Ga1 Ga 0.0368 0.7500 0.8466 1
Ga2 Ga 0.0689 0.2500 0.4951 1
Ga3 Ga 0.1863 0.7500 0.3376 1
Ga4 Ga 0.1886 0.7500 0.7405 1
Ir1 Ir 0.0397 0.7500 0.2418 1
Ir2 Ir 0.2175 0.2500 0.5402 1

***

(2)
# NpGa3Ir (PBE-GGA, optimized geometry)
# - E above lowest polymorph: 0.0000 eV per atom
# - Crystal system: orthorhombic
# - Energy of formation from the pure elements: -0.329 eV per atom
# - Fermi-level density of states: 31.2 states/eV/cell
data_NpGa3Ir
_chemical_formula_sum 'Np4 Ga12 Ir4'
_cell_length_a 8.2650
_cell_length_b 4.1551
_cell_length_c 10.9678
_cell_angle_alpha 90.00
_cell_angle_beta 90.00
_cell_angle_gamma 90.00
_space_group_name_H-M_alt 'P n m a'
_space_group_IT_number 62
loop_
_space_group_symop_operation_xyz
'x,y,z'
'-x,-y,-z'
'-x+1/2,-y,z+1/2'
'x+1/2,y,-z+1/2'
'x+1/2,-y+1/2,-z+1/2'
'-x+1/2,y+1/2,z+1/2'
'-x,y+1/2,-z'
'x,-y+1/2,z'
loop_
_atom_site_label
_atom_site_type_symbol
_atom_site_fract_x
_atom_site_fract_y
_atom_site_fract_z
_atom_site_occupancy
Np1 Np 0.1944 0.2500 0.0104 1
Ga1 Ga 0.0575 0.2500 0.5895 1
Ga2 Ga 0.0905 0.7500 0.8008 1
Ga3 Ga 0.1497 0.7500 0.2102 1
Ir1 Ir 0.1218 0.2500 0.3589 1

***

(3)
# NpGa2Ir3 (PBE-GGA, optimized geometry)
# - Crystal system: orthorhombic
# - Energy of formation from the pure elements: -0.240 eV per atom
# - Fermi-level density of states: 14.4 states/eV/cell
data_NpGa2Ir3
_chemical_formula_sum 'Np2 Ga4 Ir6'
_cell_length_a 4.7571
_cell_length_b 13.9092
_cell_length_c 2.9645
_cell_angle_alpha 90.00
_cell_angle_beta 90.00
_cell_angle_gamma 90.00
_space_group_name_H-M_alt 'P m m n'
_space_group_IT_number 59
loop_
_space_group_symop_operation_xyz
'x,y,z'
'-x,-y,-z'
'-x+1/2,-y+1/2,z'
'x+1/2,y+1/2,-z'
'x+1/2,-y,-z'
'-x+1/2,y,z'
'-x,y+1/2,-z'
'x,-y+1/2,z'
loop_
_atom_site_label
_atom_site_type_symbol
_atom_site_fract_x
_atom_site_fract_y
_atom_site_fract_z
_atom_site_occupancy
Np1 Np 0.2500 0.2500 0.0012 1
Ga1 Ga 0.2500 0.5891 0.9996 1
Ir1 Ir 0.2500 0.0654 0.4999 1
Ir2 Ir 0.2500 0.7500 0.4985 1

***

(4)
# NpGa2Ir2 (PBE-GGA, optimized geometry)
# - Crystal system: orthorhombic
# - Energy of formation from the pure elements: -0.333 eV per atom
# - Fermi-level density of states: 82.8 states/eV/cell
data_NpGa2Ir2
_chemical_formula_sum 'Np8 Ga16 Ir16'
_cell_length_a 5.1448
_cell_length_b 10.4668
_cell_length_c 14.0926
_cell_angle_alpha 90.00
_cell_angle_beta 90.00
_cell_angle_gamma 90.00
_space_group_name_H-M_alt 'F d d d'
_space_group_IT_number 70
loop_
_space_group_symop_operation_xyz
'x,y,z'
'-x,-y,-z'
'-x+1/4,-y+1/4,z'
'x+1/4,y+1/4,-z'
'x,-y+1/4,-z+1/4'
'-x,y+1/4,z+1/4'
'-x+1/4,y,-z+1/4'
'x+1/4,-y,z+1/4'
'x,y+1/2,z+1/2'
'-x,-y+1/2,-z+1/2'
'-x+1/4,-y+3/4,z+1/2'
'x+1/4,y+3/4,-z+1/2'
'x,-y+3/4,-z+3/4'
'-x,y+3/4,z+3/4'
'-x+1/4,y+1/2,-z+3/4'
'x+1/4,-y+1/2,z+3/4'
'x+1/2,y,z+1/2'
'-x+1/2,-y,-z+1/2'
'-x+3/4,-y+1/4,z+1/2'
'x+3/4,y+1/4,-z+1/2'
'x+1/2,-y+1/4,-z+3/4'
'-x+1/2,y+1/4,z+3/4'
'-x+3/4,y,-z+3/4'
'x+3/4,-y,z+3/4'
'x+1/2,y+1/2,z'
'-x+1/2,-y+1/2,-z'
'-x+3/4,-y+3/4,z'
'x+3/4,y+3/4,-z'
'x+1/2,-y+3/4,-z+1/4'
'-x+1/2,y+3/4,z+1/4'
'-x+3/4,y+1/2,-z+1/4'
'x+3/4,-y+1/2,z+1/4'
loop_
_atom_site_label
_atom_site_type_symbol
_atom_site_fract_x
_atom_site_fract_y
_atom_site_fract_z
_atom_site_occupancy
Np1 Np 0.1250 0.1250 0.1250 1
Ga1 Ga 0.1250 0.3200 0.6250 1
Ir1 Ir 0.1250 0.1250 0.5186 1

***

> The highest Fermi-level density of states belongs to which entry?

NpGa2Ir2

***

> Which formula does entry 1 have?

NpGa4Ir2

***

> What is the formula in the first record?

NpGa4Ir2